[1]
Entry from OQMD: crystalline HgAsPbO at its relaxed geometry (PBE-GGA).

Computed properties:
Offset from the most stable computed form ... 0.149 eV/atom

Unit cell a=4.151 b=6.910 c=6.975 alpha=90.00 beta=90.00 gamma=90.00
Element x y z (fractional)
Hg  0.000  0.192  0.000
Hg  0.000  0.808  0.500
As  0.000  0.166  0.378
As  0.000  0.834  0.878
Pb  0.500  0.356  0.563
Pb  0.500  0.644  0.063
O  0.500  0.364  0.898
O  0.500  0.636  0.398



[2]
Entry from OQMD: crystalline HgAsPbO at its relaxed geometry (PBE-GGA).

Computed properties:
Offset from the most stable computed form ... 0.431 eV/atom

Unit cell a=4.765 b=4.765 c=8.795 alpha=90.00 beta=90.00 gamma=90.00
Element x y z (fractional)
Hg  0.250  0.250  0.019
Hg  0.750  0.750  0.981
As  0.250  0.250  0.685
As  0.750  0.750  0.315
Pb  0.250  0.750  0.500
Pb  0.750  0.250  0.500
O  0.250  0.750  0.000
O  0.750  0.250  0.000



Q: Look up the offset from the most stable computed form of the first one.
A: 0.149 eV/atom